No. 1
A geometry-optimized HfCr2SiTc structure, computed with GGA-PBE.

Cell lengths 4.193, 4.193, 4.807 Å; angles 90.00, 90.00, 90.00 degrees
Space group P4/mmm (No. 123)
One atom of each set of equivalent atoms:
Hf 0.000 0.000 0.000 x1
Cr 0.000 0.500 0.500 x2
Si 0.000 0.000 0.500 x1
Tc 0.500 0.500 0.000 x1

Calculated values
Density of states at the Fermi level: 1.555 states/eV per atom
Formation energy without anion corrections: 955 meV/atom

=====

No. 2
A geometry-optimized Hf2CrSn2 structure, computed with GGA-PBE.

Cell lengths 7.006, 7.006, 4.158 Å; angles 90.00, 90.00, 90.00 degrees
Space group P4/mbm (No. 127)
One atom of each set of equivalent atoms:
Hf 0.165 0.335 0.000 x4
Cr 0.000 0.000 0.500 x2
Sn 0.144 0.644 0.500 x4

Calculated values
Density of states at the Fermi level: 0.287 states/eV per atom

=====

No. 3
A geometry-optimized Hf8CrSn2 structure, computed with GGA-PBE.

Cell lengths 5.026, 6.521, 14.275 Å; angles 90.00, 90.00, 90.00 degrees
Space group Immm (No. 71)
One atom of each set of equivalent atoms:
Hf 0.000 0.000 0.178 x4
Hf 0.000 0.240 0.370 x8
Hf 0.000 0.252 0.000 x4
Cr 0.000 0.500 0.500 x2
Sn 0.000 0.500 0.187 x4

Calculated values
Density of states at the Fermi level: 0.817 states/eV per atom

=====

No. 4
A geometry-optimized HfCrSn structure, computed with GGA-PBE.

Cell lengths 3.048, 3.048, 16.140 Å; angles 90.00, 90.00, 90.00 degrees
Space group P4/nmm (No. 129, origin choice 2)
One atom of each set of equivalent atoms:
Hf 0.250 0.250 0.065 x2
Cr 0.250 0.250 0.239 x2
Sn 0.250 0.250 0.414 x2

Calculated values
Density of states at the Fermi level: 0.630 states/eV per atom

=====

No. 5
A geometry-optimized HfCrSn2 structure, computed with GGA-PBE.

Cell lengths 4.110, 4.110, 20.362 Å; angles 90.00, 90.00, 90.00 degrees
Space group I-42d (No. 122)
One atom of each set of equivalent atoms:
Hf 0.000 0.000 0.000 x4
Cr 0.000 0.000 0.500 x4
Sn 0.243 0.250 0.625 x8

Calculated values
Density of states at the Fermi level: 1.307 states/eV per atom
Energy relative to the lowest polymorph listed for this composition: 0.235 eV per atom

=====

No. 6
A geometry-optimized Hf12CrSn6 structure, computed with GGA-PBE.

Cell lengths 12.1028, 12.1028, 10.8579 Å; angles 90.00, 90.00, 120.00 degrees
Space group R-3 (No. 148, hexagonal axes)
One atom of each set of equivalent atoms:
Hf 0.0220 0.1616 0.3792 x18
Hf 0.0746 0.1899 0.8739 x18
Cr 0.0000 0.0000 0.0000 x3
Sn 0.0332 0.2949 0.6322 x18

Calculated values
Density of states at the Fermi level: 0.863 states/eV per atom

=====

No. 7
A geometry-optimized HfCrSn structure, computed with GGA-PBE.

Cell lengths 3.427, 3.427, 9.299 Å; angles 90.00, 90.00, 90.00 degrees
Space group I4mm (No. 107)
One atom of each set of equivalent atoms:
Hf 0.000 0.000 0.000 x2
Cr 0.000 0.000 0.352 x2
Sn 0.000 0.000 0.692 x2

Calculated values
Density of states at the Fermi level: 0.543 states/eV per atom

=====

No. 8
A geometry-optimized HfCrSn2 structure, computed with GGA-PBE.

Cell lengths 6.768, 6.768, 6.768 Å; angles 90.00, 90.00, 90.00 degrees
Space group Fm-3m (No. 225)
One atom of each set of equivalent atoms:
Hf 0.000 0.000 0.000 x4
Cr 0.000 0.000 0.500 x4
Sn 0.250 0.250 0.250 x8

Calculated values
Density of states at the Fermi level: 0.619 states/eV per atom
Energy relative to the lowest polymorph listed for this composition: 0.000 eV per atom

=====

No. 9
A geometry-optimized Sr2HfCr structure, computed with GGA-PBE.

Cell lengths 11.529, 11.529, 4.853 Å; angles 90.00, 90.00, 90.00 degrees
Space group I-42d (No. 122)
One atom of each set of equivalent atoms:
Sr 0.097 0.750 0.125 x8
Hf 0.000 0.000 0.500 x4
Cr 0.000 0.000 0.000 x4

Calculated values
Density of states at the Fermi level: 1.161 states/eV per atom
Energy relative to the lowest polymorph listed for this composition: 0.000 eV per atom

=====

No. 10
A geometry-optimized Sr2HfCr2 structure, computed with GGA-PBE.

Cell lengths 4.320, 4.320, 13.305 Å; angles 90.00, 90.00, 90.00 degrees
Space group I4/mmm (No. 139)
One atom of each set of equivalent atoms:
Sr 0.000 0.500 0.250 x4
Hf 0.000 0.000 0.000 x2
Cr 0.000 0.000 0.432 x4

Calculated values
Density of states at the Fermi level: 0.857 states/eV per atom
Energy relative to the lowest polymorph listed for this composition: 0.028 eV per atom

=====

No. 11
A geometry-optimized Sr2HfCr2 structure, computed with GGA-PBE.

Cell lengths 8.801, 8.801, 3.475 Å; angles 90.00, 90.00, 90.00 degrees
Space group P4/mbm (No. 127)
One atom of each set of equivalent atoms:
Sr 0.209 0.291 0.000 x4
Hf 0.000 0.000 0.500 x2
Cr 0.071 0.571 0.500 x4

Calculated values
Density of states at the Fermi level: 1.308 states/eV per atom
Energy relative to the lowest polymorph listed for this composition: 0.000 eV per atom

=====

No. 12
A geometry-optimized Sr2HfCr structure, computed with GGA-PBE.

Cell lengths 7.692, 7.692, 7.692 Å; angles 90.00, 90.00, 90.00 degrees
Space group Fm-3m (No. 225)
One atom of each set of equivalent atoms:
Sr 0.250 0.250 0.250 x8
Hf 0.000 0.000 0.000 x4
Cr 0.000 0.000 0.500 x4

Calculated values
Density of states at the Fermi level: 3.864 states/eV per atom
Energy relative to the lowest polymorph listed for this composition: 0.474 eV per atom

=====

No. 13
A geometry-optimized SrHf3Cr structure, computed with GGA-PBE.

Cell lengths 5.113, 5.113, 5.113 Å; angles 90.00, 90.00, 90.00 degrees
Space group Pm-3m (No. 221)
One atom of each set of equivalent atoms:
Sr 0.000 0.000 0.000 x1
Hf 0.000 0.000 0.500 x3
Cr 0.500 0.500 0.500 x1

Calculated values
Density of states at the Fermi level: 1.507 states/eV per atom
Energy relative to the lowest polymorph listed for this composition: 1.727 eV per atom

=====

No. 14
A geometry-optimized SrHf2Cr structure, computed with GGA-PBE.

Cell lengths 10.343, 10.343, 10.343 Å; angles 90.00, 90.00, 90.00 degrees
Space group Fd-3m (No. 227, origin choice 2)
One atom of each set of equivalent atoms:
Sr 0.125 0.125 0.125 x8
Hf 0.000 0.000 0.500 x16
Cr 0.125 0.125 0.625 x8

Calculated values
Density of states at the Fermi level: 1.173 states/eV per atom
Energy relative to the lowest polymorph listed for this composition: 0.219 eV per atom

=====

No. 15
A geometry-optimized SrHf3Cr structure, computed with GGA-PBE.

Cell lengths 5.021, 5.021, 5.021 Å; angles 90.00, 90.00, 90.00 degrees
Space group Pm-3m (No. 221)
One atom of each set of equivalent atoms:
Sr 0.000 0.000 0.000 x1
Hf 0.000 0.500 0.500 x3
Cr 0.500 0.500 0.500 x1

Calculated values
Density of states at the Fermi level: 2.002 states/eV per atom
Energy relative to the lowest polymorph listed for this composition: 0.000 eV per atom

=====

No. 16
A geometry-optimized SrHf2Cr structure, computed with GGA-PBE.

Cell lengths 7.021, 7.021, 7.021 Å; angles 90.00, 90.00, 90.00 degrees
Space group Fm-3m (No. 225)
One atom of each set of equivalent atoms:
Sr 0.000 0.000 0.000 x4
Hf 0.250 0.250 0.250 x8
Cr 0.000 0.000 0.500 x4

Calculated values
Density of states at the Fermi level: 2.384 states/eV per atom
Energy relative to the lowest polymorph listed for this composition: 0.000 eV per atom

=====

No. 17
A geometry-optimized Sr2HfTaCr structure, computed with GGA-PBE.

Cell lengths 5.626, 5.626, 4.881 Å; angles 90.00, 90.00, 90.00 degrees
Space group P4/mmm (No. 123)
One atom of each set of equivalent atoms:
Sr 0.000 0.500 0.000 x2
Hf 0.000 0.000 0.500 x1
Ta 0.500 0.500 0.500 x1
Cr 0.000 0.000 0.000 x1

Calculated values
Density of states at the Fermi level: 1.208 states/eV per atom

=====

No. 18
A geometry-optimized SrHf2TlCr structure, computed with GGA-PBE.

Cell lengths 5.304, 5.304, 4.955 Å; angles 90.00, 90.00, 90.00 degrees
Space group P4/mmm (No. 123)
One atom of each set of equivalent atoms:
Sr 0.000 0.000 0.000 x1
Hf 0.000 0.500 0.000 x2
Tl 0.500 0.500 0.500 x1
Cr 0.000 0.000 0.500 x1

Calculated values
Density of states at the Fermi level: 0.977 states/eV per atom

=====

No. 19
A geometry-optimized SrY2HfCr structure, computed with GGA-PBE.

Cell lengths 5.226, 5.226, 5.462 Å; angles 90.00, 90.00, 90.00 degrees
Space group P4/mmm (No. 123)
One atom of each set of equivalent atoms:
Sr 0.000 0.000 0.000 x1
Y 0.000 0.500 0.500 x2
Hf 0.500 0.500 0.000 x1
Cr 0.000 0.000 0.500 x1

Calculated values
Density of states at the Fermi level: 1.965 states/eV per atom

=====

No. 20
A geometry-optimized Sr2HfZrCr structure, computed with GGA-PBE.

Cell lengths 5.704, 5.704, 4.934 Å; angles 90.00, 90.00, 90.00 degrees
Space group P4/mmm (No. 123)
One atom of each set of equivalent atoms:
Sr 0.000 0.500 0.000 x2
Hf 0.000 0.000 0.500 x1
Zr 0.500 0.500 0.500 x1
Cr 0.000 0.000 0.000 x1

Calculated values
Density of states at the Fermi level: 2.175 states/eV per atom

=====

no.,total energy (eV/cell)
1,-40.2
2,-74.9
3,-196.7
4,-42.4
5,-101.9
6,-453.0
7,-47.0
8,-105.7
9,-75.9
10,-54.0
11,-54.3
12,-68.3
13,-29.7
14,-212.5
15,-38.3
16,-109.7
17,-27.0
18,-23.4
19,-29.2
20,-25.7